# DyTm2Lu4Ni2Te2 (PBE, relaxed)
data_DyTm2Lu4Ni2Te2
_chemical_formula_sum 'Dy1 Tm2 Lu4 Ni2 Te2'
_cell_length_a 9.1921
_cell_length_b 9.1921
_cell_length_c 9.1921
_cell_angle_alpha 156.07
_cell_angle_beta 67.17
_cell_angle_gamma 118.30
_symmetry_space_group_name_H-M 'P 1'
_symmetry_Int_Tables_number 1
_symmetry_space_group_name_Hall 'P 1'
loop_
_atom_site_label
_atom_site_type_symbol
_atom_site_fract_x
_atom_site_fract_y
_atom_site_fract_z
_atom_site_occupancy
Dy1 Dy 0.0000 0.0000 0.0000 1
Tm1 Tm 0.0612 0.3756 0.6856 1
Tm2 Tm 0.6901 0.3756 0.3144 1
Lu1 Lu 0.0819 0.7290 0.3529 1
Lu2 Lu 0.3761 0.7290 0.6471 1
Lu3 Lu 0.4465 0.5813 0.8652 1
Lu4 Lu 0.7161 0.5813 0.1348 1
Ni1 Ni 0.3074 0.0705 0.2369 1
Ni2 Ni 0.8336 0.0705 0.7631 1
Te1 Te 0.3396 0.3396 0.0000 1
Te2 Te 0.7307 0.2307 0.5000 1
# Offset from the most stable computed form, eV per formula unit: 0.08
# Symmetry: No. 44
# E, eV/atom: -5.1404
# Calculated volume, Å³/cell: 275